# DyPaFeRh PBE relaxed
# Spin magnetization = 0.6 μB per formula unit
# V = 19.62 Å³/atom
# Calculated formation energy = -0.274 eV/atom
data_DyPaFeRh
_chemical_formula_sum 'Dy4 Pa4 Fe4 Rh4'
_cell_length_a 6.796
_cell_length_b 6.796
_cell_length_c 6.796
_cell_angle_alpha 90.00
_cell_angle_beta 90.00
_cell_angle_gamma 90.00
_symmetry_space_group_name_H-M 'F -4 3 m'
_symmetry_Int_Tables_number 216
_symmetry_space_group_name_Hall 'F -4 2 3'
loop_
_atom_site_label
_atom_site_type_symbol
_atom_site_fract_x
_atom_site_fract_y
_atom_site_fract_z
Dy1 Dy 0.000 0.000 0.000
Pa1 Pa 0.000 0.000 0.500
Fe1 Fe 0.250 0.250 0.750
Rh1 Rh 0.250 0.250 0.250